Below is crystalline CoTcBrO4 at its relaxed geometry, with properties calculated at the PBE with a Hubbard U level.

Output
calculated density	3.3	g/cm3
energy	-179.65	eV per cell

Geometry as CIF:
```
data_CoTcBrO4
_space_group_name_H-M_alt 'C 1 2/m 1'
_space_group_IT_number 12
_cell_length_a 12.885
_cell_length_b 6.727
_cell_length_c 7.497
_cell_angle_alpha 90.00
_cell_angle_beta 111.67
_cell_angle_gamma 90.00
loop_
_space_group_symop_operation_xyz
'x,y,z'
'-x,-y,-z'
'-x,y,-z'
'x,-y,z'
'x+1/2,y+1/2,z'
'-x+1/2,-y+1/2,-z'
'-x+1/2,y+1/2,-z'
'x+1/2,-y+1/2,z'
loop_
_atom_site_label
_atom_site_fract_x
_atom_site_fract_y
_atom_site_fract_z
_atom_site_occupancy
Co1 0.132 0.000 0.159 1
Tc1 0.173 0.500 0.308 1
Br1 0.051 0.000 0.801 1
O1 0.047 0.500 0.334 1
O2 0.182 0.285 0.179 1
O3 0.220 0.000 0.465 1
```